(A)
First-principles (PBEsol) data for a relaxed structure of IrOs2, as listed in the Alexandria database. Values from VASP.

```
&SYSTEM
  ibrav = 0, nat = 3, ntyp = 2
/
ATOMIC_SPECIES
Ir 192.22 Ir.upf
Os 190.23 Os.upf
CELL_PARAMETERS angstrom
-0.331 3.445 -0.086
-2.554 -2.014 -1.186
-1.954 -0.080 4.343
ATOMIC_POSITIONS crystal
Ir 0.000 0.000 0.000
Os 0.667 0.333 0.641
Os 0.333 0.667 0.359
```

Calculated values
**ρ**: 19.2 g/cm3
**Space-group type**: P-3m1
**Magnetic moment**: 0.00 μB/cell


(B)
First-principles (PBEsol) data for a relaxed structure of IrOs2, as listed in the Alexandria database. Values from VASP.

```
&SYSTEM
  ibrav = 0, nat = 3, ntyp = 2
/
ATOMIC_SPECIES
Ir 192.22 Ir.upf
Os 190.23 Os.upf
CELL_PARAMETERS angstrom
2.700 0.000 0.000
0.000 3.827 0.000
-1.350 -1.913 4.058
ATOMIC_POSITIONS crystal
Ir 0.000 0.000 0.000
Os 0.331 0.331 0.662
Os 0.669 0.669 0.338
```

Calculated values
**ρ**: 22.7 g/cm3
**Space-group type**: Immm
**Magnetic moment**: 0.00 μB/cell


The structure with the most favorable energy is (B); the runner-up is 1293 meV per atom above it.


(A)
First-principles (PBEsol) data for a relaxed structure of P2IrOs, as listed in the Alexandria database. Values from VASP.

```
&SYSTEM
  ibrav = 0, nat = 4, ntyp = 3
/
ATOMIC_SPECIES
Ir 192.22 Ir.upf
Os 190.23 Os.upf
P 30.97 P.upf
CELL_PARAMETERS angstrom
2.881 0.000 0.000
1.440 2.495 0.000
1.440 0.832 7.345
ATOMIC_POSITIONS crystal
Ir 0.500 0.500 0.500
Os 0.000 0.000 0.000
P 0.251 0.251 0.246
P 0.749 0.749 0.754
```

Calculated values
**ρ**: 14.0 g/cm3
**Space-group type**: R-3m
**Magnetic moment**: 0.00 μB/cell


(B)
First-principles (PBEsol) data for a relaxed structure of P2IrOs, as listed in the Alexandria database. Values from VASP.

```
&SYSTEM
  ibrav = 0, nat = 4, ntyp = 3
/
ATOMIC_SPECIES
Ir 192.22 Ir.upf
Os 190.23 Os.upf
P 30.97 P.upf
CELL_PARAMETERS angstrom
-1.255 -1.602 -1.955
1.828 -2.082 0.533
-4.672 -2.757 5.257
ATOMIC_POSITIONS crystal
Ir 0.000 0.000 0.489
Os 0.500 0.500 0.765
P 0.000 0.000 0.942
P 0.500 0.500 0.304
```

Calculated values
**ρ**: 12.3 g/cm3
**Space-group type**: P4mm
**Magnetic moment**: 0.00 μB/cell


(C)
First-principles (PBEsol) data for a relaxed structure of P2IrOs, as listed in the Alexandria database. Values from VASP.

```
&SYSTEM
  ibrav = 0, nat = 4, ntyp = 3
/
ATOMIC_SPECIES
Ir 192.22 Ir.upf
Os 190.23 Os.upf
P 30.97 P.upf
CELL_PARAMETERS angstrom
4.173 0.012 0.018
-2.039 3.641 -0.018
-2.039 -1.259 3.416
ATOMIC_POSITIONS crystal
Ir 0.000 0.000 0.000
Os 0.000 0.500 0.500
P 0.500 0.750 0.250
P 0.500 0.250 0.750
```

Calculated values
**ρ**: 14.2 g/cm3
**Space-group type**: I4/mmm
**Magnetic moment**: 0.00 μB/cell


(D)
First-principles (PBEsol) data for a relaxed structure of P2IrOs, as listed in the Alexandria database. Values from VASP.

```
&SYSTEM
  ibrav = 0, nat = 4, ntyp = 3
/
ATOMIC_SPECIES
Ir 192.22 Ir.upf
Os 190.23 Os.upf
P 30.97 P.upf
CELL_PARAMETERS angstrom
-0.361 -0.306 -3.789
-3.295 -2.029 0.478
-1.954 3.483 -0.095
ATOMIC_POSITIONS crystal
Ir 0.500 0.500 0.500
Os 0.500 0.000 0.000
P 0.000 0.185 0.308
P 0.000 0.815 0.692
```

Calculated values
**ρ**: 12.4 g/cm3
**Space-group type**: P2/m
**Magnetic moment**: 0.00 μB/cell


The structure with the most favorable energy is (A); the runner-up is 109 meV per atom above it.


(A)
First-principles (PBEsol) data for a relaxed structure of IrOsPb2, as listed in the Alexandria database. Values from VASP.

```
&SYSTEM
  ibrav = 0, nat = 4, ntyp = 3
/
ATOMIC_SPECIES
Ir 192.22 Ir.upf
Os 190.23 Os.upf
Pb 207.20 Pb.upf
CELL_PARAMETERS angstrom
4.707 0.000 0.000
2.354 4.077 0.000
2.354 1.359 3.844
ATOMIC_POSITIONS crystal
Ir 0.000 0.000 0.000
Os 0.500 0.500 0.500
Pb 0.250 0.250 0.250
Pb 0.750 0.750 0.750
```

Calculated values
**ρ**: 17.9 g/cm3
**Space-group type**: Fm-3m
**Magnetic moment**: 0.01 μB/cell


(B)
First-principles (PBEsol) data for a relaxed structure of IrOsPb2, as listed in the Alexandria database. Values from VASP.

```
&SYSTEM
  ibrav = 0, nat = 4, ntyp = 3
/
ATOMIC_SPECIES
Ir 192.22 Ir.upf
Os 190.23 Os.upf
Pb 207.20 Pb.upf
CELL_PARAMETERS angstrom
2.969 0.000 0.000
-1.484 4.195 0.010
0.000 -0.739 7.132
ATOMIC_POSITIONS crystal
Ir 0.509 0.019 0.562
Os 0.244 0.489 0.686
Pb 0.981 0.963 0.933
Pb 0.765 0.530 0.319
```

Calculated values
**ρ**: 14.9 g/cm3
**Space-group type**: Cm
**Magnetic moment**: 0.00 μB/cell


The structure with the most favorable energy is (B); the runner-up is 298 meV per atom above it.


(A)
First-principles (PBEsol) data for a relaxed structure of Ir2OsPt, as listed in the Alexandria database. Values from VASP.

```
&SYSTEM
  ibrav = 0, nat = 4, ntyp = 3
/
ATOMIC_SPECIES
Ir 192.22 Ir.upf
Os 190.23 Os.upf
Pt 195.08 Pt.upf
CELL_PARAMETERS angstrom
-2.688 -0.041 0.354
-0.262 -1.597 -2.176
0.691 -6.266 4.517
ATOMIC_POSITIONS crystal
Ir 0.000 0.000 0.006
Ir 0.500 0.500 0.254
Os 0.000 0.000 0.493
Pt 0.500 0.500 0.746
```

Calculated values
**ρ**: 22.4 g/cm3
**Space-group type**: P4mm
**Magnetic moment**: 0.00 μB/cell


(B)
First-principles (PBEsol) data for a relaxed structure of Ir2OsPt, as listed in the Alexandria database. Values from VASP.

```
&SYSTEM
  ibrav = 0, nat = 4, ntyp = 3
/
ATOMIC_SPECIES
Ir 192.22 Ir.upf
Os 190.23 Os.upf
Pt 195.08 Pt.upf
CELL_PARAMETERS angstrom
-0.859 -2.356 -1.035
1.471 -0.903 4.388
-4.458 1.222 0.919
ATOMIC_POSITIONS crystal
Ir 0.746 0.492 0.743
Ir 0.254 0.508 0.257
Os 0.000 0.000 0.500
Pt 0.500 0.000 0.000
```

Calculated values
**ρ**: 22.5 g/cm3
**Space-group type**: C2/m
**Magnetic moment**: 0.00 μB/cell


(C)
First-principles (PBEsol) data for a relaxed structure of Ir2OsPt, as listed in the Alexandria database. Values from VASP.

```
&SYSTEM
  ibrav = 0, nat = 4, ntyp = 3
/
ATOMIC_SPECIES
Ir 192.22 Ir.upf
Os 190.23 Os.upf
Pt 195.08 Pt.upf
CELL_PARAMETERS angstrom
2.662 0.000 0.000
-1.331 2.335 0.000
0.000 0.000 9.435
ATOMIC_POSITIONS crystal
Ir 0.000 0.000 0.004
Ir 0.500 0.000 0.251
Os 0.000 0.000 0.495
Pt 0.500 0.000 0.749
```

Calculated values
**ρ**: 21.8 g/cm3
**Space-group type**: Cmm2
**Magnetic moment**: 0.00 μB/cell


(D)
First-principles (PBEsol) data for a relaxed structure of Ir2OsPt, as listed in the Alexandria database. Values from VASP.

```
&SYSTEM
  ibrav = 0, nat = 4, ntyp = 3
/
ATOMIC_SPECIES
Ir 192.22 Ir.upf
Os 190.23 Os.upf
Pt 195.08 Pt.upf
CELL_PARAMETERS angstrom
-1.489 1.886 -1.274
-3.870 -2.584 0.698
0.696 1.559 4.396
ATOMIC_POSITIONS crystal
Ir 0.997 0.997 0.995
Ir 0.248 0.744 0.497
Os 0.503 0.508 0.006
Pt 0.751 0.251 0.502
```

Calculated values
**ρ**: 22.5 g/cm3
**Space-group type**: Cm
**Magnetic moment**: 0.00 μB/cell


The structure with the most favorable energy is (B); the runner-up is 15 meV per atom above it.


(A)
First-principles (PBEsol) data for a relaxed structure of Ir2OsPt, as listed in the Alexandria database. Values from VASP.

```
&SYSTEM
  ibrav = 0, nat = 4, ntyp = 3
/
ATOMIC_SPECIES
Ir 192.22 Ir.upf
Os 190.23 Os.upf
Pt 195.08 Pt.upf
CELL_PARAMETERS angstrom
2.720 0.000 0.000
0.000 3.834 0.000
0.000 0.000 5.456
ATOMIC_POSITIONS crystal
Ir 0.000 0.000 0.758
Ir 0.000 0.000 0.242
Os 0.500 0.500 0.000
Pt 0.500 0.500 0.500
```

Calculated values
**ρ**: 22.5 g/cm3
**Space-group type**: Pmmm
**Magnetic moment**: 0.00 μB/cell


(B)
First-principles (PBEsol) data for a relaxed structure of Ir2OsPt, as listed in the Alexandria database. Values from VASP.

```
&SYSTEM
  ibrav = 0, nat = 4, ntyp = 3
/
ATOMIC_SPECIES
Ir 192.22 Ir.upf
Os 190.23 Os.upf
Pt 195.08 Pt.upf
CELL_PARAMETERS angstrom
2.719 0.000 0.000
1.360 2.355 0.000
1.360 0.785 8.907
ATOMIC_POSITIONS crystal
Ir 0.001 0.001 0.996
Ir 0.751 0.751 0.746
Os 0.498 0.498 0.505
Pt 0.249 0.249 0.253
```

Calculated values
**ρ**: 22.4 g/cm3
**Space-group type**: R3m
**Magnetic moment**: 0.00 μB/cell


The structure with the most favorable energy is (A); the runner-up is 29 meV per atom above it.